1.
Below is a relaxed Tl3SiAu crystal, with properties calculated at the GGA-PBE level.

Calculated values
* calculated density: 8.431 Mg/m³
* energy above the most stable polymorph in this dataset: 137.7 meV per atom

Cell and atoms, written as CIF:
```
data_Tl3SiAu
_cell_length_a 5.486
_cell_length_b 5.486
_cell_length_c 5.486
_cell_angle_alpha 90.00
_cell_angle_beta 90.00
_cell_angle_gamma 90.00
_space_group_name_H-M_alt 'P m -3 m'
_space_group_IT_number 221
_space_group_name_Hall '-P 4 2 3'
loop_
_atom_site_label
_atom_site_type_symbol
_atom_site_fract_x
_atom_site_fract_y
_atom_site_fract_z
Tl1 Tl 0.000 0.000 0.500
Si1 Si 0.500 0.500 0.500
Au1 Au 0.000 0.000 0.000
```

2.
Below is a relaxed AlHPt2Au crystal, with properties calculated at the GGA-PBE level.

Calculated values
* calculated density: 10.031 Mg/m³

Cell and atoms, written as CIF:
```
data_AlHPt2Au
_cell_length_a 4.594
_cell_length_b 4.594
_cell_length_c 4.825
_cell_angle_alpha 90.00
_cell_angle_beta 90.00
_cell_angle_gamma 90.00
_space_group_name_H-M_alt 'P 4/m m m'
_space_group_IT_number 123
_space_group_name_Hall '-P 4 2'
loop_
_atom_site_label
_atom_site_type_symbol
_atom_site_fract_x
_atom_site_fract_y
_atom_site_fract_z
Al1 Al 0.000 0.000 0.000
H1 H 0.500 0.500 0.500
Pt1 Pt 0.000 0.500 0.000
Au1 Au 0.000 0.000 0.500
```

3.
Below is a relaxed NaSr2MnOs crystal, with properties calculated at the GGA-PBE level.

Calculated values
* calculated density: 4.623 Mg/m³

Cell and atoms, written as CIF:
```
data_NaSr2MnOs
_cell_length_a 5.711
_cell_length_b 5.711
_cell_length_c 4.883
_cell_angle_alpha 90.00
_cell_angle_beta 90.00
_cell_angle_gamma 90.00
_space_group_name_H-M_alt 'P 4/m m m'
_space_group_IT_number 123
_space_group_name_Hall '-P 4 2'
loop_
_atom_site_label
_atom_site_type_symbol
_atom_site_fract_x
_atom_site_fract_y
_atom_site_fract_z
Na1 Na 0.000 0.000 0.000
Sr1 Sr 0.000 0.500 0.000
Mn1 Mn 0.000 0.000 0.500
Os1 Os 0.500 0.500 0.500
```

4.
Below is a relaxed Tl2MoAs crystal, with properties calculated at the GGA-PBE level.

Calculated values
* calculated density: 10.951 Mg/m³
* energy above the most stable polymorph in this dataset: 597.4 meV per atom

Cell and atoms, written as CIF:
```
data_Tl2MoAs
_cell_length_a 3.622
_cell_length_b 4.794
_cell_length_c 5.063
_cell_angle_alpha 90.00
_cell_angle_beta 90.00
_cell_angle_gamma 90.00
_space_group_name_H-M_alt 'P m m m'
_space_group_IT_number 47
loop_
_space_group_symop_operation_xyz
'x,y,z'
'-x,-y,-z'
'-x,-y,z'
'x,y,-z'
'x,-y,-z'
'-x,y,z'
'-x,y,-z'
'x,-y,z'
loop_
_atom_site_label
_atom_site_type_symbol
_atom_site_fract_x
_atom_site_fract_y
_atom_site_fract_z
Tl1 Tl 0.000 0.000 0.000
Tl2 Tl 0.500 0.000 0.500
Mo1 Mo 0.000 0.500 0.500
As1 As 0.500 0.500 0.000
```

5.
Below is a relaxed ScAgGe crystal, with properties calculated at the GGA-PBE level.

Calculated values
* calculated density: 6.539 Mg/m³

Cell and atoms, written as CIF:
```
data_ScAgGe
_cell_length_a 14.884
_cell_length_b 3.998
_cell_length_c 3.992
_cell_angle_alpha 90.00
_cell_angle_beta 105.35
_cell_angle_gamma 90.00
_space_group_name_H-M_alt 'C 1 2/m 1'
_space_group_IT_number 12
loop_
_space_group_symop_operation_xyz
'x,y,z'
'-x,-y,-z'
'-x,y,-z'
'x,-y,z'
'x+1/2,y+1/2,z'
'-x+1/2,-y+1/2,-z'
'-x+1/2,y+1/2,-z'
'x+1/2,-y+1/2,z'
loop_
_atom_site_label
_atom_site_type_symbol
_atom_site_fract_x
_atom_site_fract_y
_atom_site_fract_z
Sc1 Sc 0.171 0.000 0.170
Ag1 Ag 0.000 0.000 0.500
Ag2 Ag 0.000 0.500 0.000
Ge1 Ge 0.137 0.500 0.637
```

6.
Below is a relaxed In2CoPbCl crystal, with properties calculated at the GGA-PBE level.

Calculated values
* calculated density: 7.010 Mg/m³

Cell and atoms, written as CIF:
```
data_In2CoPbCl
_cell_length_a 5.026
_cell_length_b 5.026
_cell_length_c 4.982
_cell_angle_alpha 90.00
_cell_angle_beta 90.00
_cell_angle_gamma 90.00
_space_group_name_H-M_alt 'P 4/m m m'
_space_group_IT_number 123
_space_group_name_Hall '-P 4 2'
loop_
_atom_site_label
_atom_site_type_symbol
_atom_site_fract_x
_atom_site_fract_y
_atom_site_fract_z
In1 In 0.000 0.500 0.000
Co1 Co 0.000 0.000 0.000
Pb1 Pb 0.000 0.000 0.500
Cl1 Cl 0.500 0.500 0.500
```

7.
Below is a relaxed LiCa2Pt2 crystal, with properties calculated at the GGA-PBE level.

Calculated values
* calculated density: 7.053 Mg/m³
* energy above the most stable polymorph in this dataset: 258.5 meV per atom

Cell and atoms, written as CIF:
```
data_LiCa2Pt2
_cell_length_a 8.252
_cell_length_b 8.252
_cell_length_c 3.300
_cell_angle_alpha 90.00
_cell_angle_beta 90.00
_cell_angle_gamma 90.00
_space_group_name_H-M_alt 'P 4/m b m'
_space_group_IT_number 127
_space_group_name_Hall '-P 4 2ab'
loop_
_atom_site_label
_atom_site_type_symbol
_atom_site_fract_x
_atom_site_fract_y
_atom_site_fract_z
Li1 Li 0.000 0.000 0.000
Ca1 Ca 0.143 0.357 0.000
Pt1 Pt 0.155 0.655 0.500
```

8.
Below is a relaxed Pa2AsIr crystal, with properties calculated at the GGA-PBE level.

Calculated values
* calculated density: 12.765 Mg/m³
* energy above the most stable polymorph in this dataset: 0.0 meV per atom

Cell and atoms, written as CIF:
```
data_Pa2AsIr
_cell_length_a 3.9287
_cell_length_b 3.9287
_cell_length_c 21.2904
_cell_angle_alpha 90.00
_cell_angle_beta 90.00
_cell_angle_gamma 120.00
_space_group_name_H-M_alt 'R -3 m'
_space_group_IT_number 166
_space_group_name_Hall '-R 3 2"'
loop_
_atom_site_label
_atom_site_type_symbol
_atom_site_fract_x
_atom_site_fract_y
_atom_site_fract_z
Pa1 Pa 0.0000 0.0000 0.2448
As1 As 0.0000 0.0000 0.0000
Ir1 Ir 0.0000 0.0000 0.5000
```

9.
Below is a relaxed Ho2BeAl crystal, with properties calculated at the GGA-PBE level.

Calculated values
* calculated density: 7.157 Mg/m³
* energy above the most stable polymorph in this dataset: 0.0 meV per atom

Cell and atoms, written as CIF:
```
data_Ho2BeAl
_cell_length_a 3.454
_cell_length_b 3.454
_cell_length_c 7.114
_cell_angle_alpha 90.00
_cell_angle_beta 90.00
_cell_angle_gamma 90.00
_space_group_name_H-M_alt 'P 4/m m m'
_space_group_IT_number 123
_space_group_name_Hall '-P 4 2'
loop_
_atom_site_label
_atom_site_type_symbol
_atom_site_fract_x
_atom_site_fract_y
_atom_site_fract_z
Ho1 Ho 0.000 0.000 0.230
Be1 Be 0.500 0.500 0.000
Al1 Al 0.500 0.500 0.500
```

10.
Below is a relaxed PrNd3DyTh crystal, with properties calculated at the GGA-PBE level.

Calculated values
* calculated density: 7.749 Mg/m³

Cell and atoms, written as CIF:
```
data_PrNd3DyTh
_cell_length_a 20.647
_cell_length_b 5.760
_cell_length_c 6.980
_cell_angle_alpha 90.00
_cell_angle_beta 91.22
_cell_angle_gamma 90.00
_space_group_name_H-M_alt 'C 1 2/m 1'
_space_group_IT_number 12
loop_
_space_group_symop_operation_xyz
'x,y,z'
'-x,-y,-z'
'-x,y,-z'
'x,-y,z'
'x+1/2,y+1/2,z'
'-x+1/2,-y+1/2,-z'
'-x+1/2,y+1/2,-z'
'x+1/2,-y+1/2,z'
loop_
_atom_site_label
_atom_site_type_symbol
_atom_site_fract_x
_atom_site_fract_y
_atom_site_fract_z
Pr1 Pr 0.146 0.000 0.456
Nd1 Nd 0.018 0.000 0.747
Nd2 Nd 0.156 0.500 0.750
Nd3 Nd 0.220 0.500 0.244
Dy1 Dy 0.147 0.000 0.018
Th1 Th 0.058 0.500 0.211
```

11.
Below is a relaxed LaMnGe2Os crystal, with properties calculated at the GGA-PBE level.

Calculated values
* calculated density: 9.355 Mg/m³

Cell and atoms, written as CIF:
```
data_LaMnGe2Os
_cell_length_a 4.141
_cell_length_b 4.141
_cell_length_c 10.960
_cell_angle_alpha 90.00
_cell_angle_beta 90.00
_cell_angle_gamma 90.00
_space_group_name_H-M_alt 'I -4 m 2'
_space_group_IT_number 119
_space_group_name_Hall 'I -4 -2'
loop_
_atom_site_label
_atom_site_type_symbol
_atom_site_fract_x
_atom_site_fract_y
_atom_site_fract_z
La1 La 0.000 0.000 0.000
Mn1 Mn 0.000 0.500 0.750
Ge1 Ge 0.000 0.000 0.376
Os1 Os 0.000 0.500 0.250
```

12.
Below is a relaxed GdAl2Ag crystal, with properties calculated at the GGA-PBE level.

Calculated values
* calculated density: 6.456 Mg/m³

Cell and atoms, written as CIF:
```
data_GdAl2Ag
_cell_length_a 4.343
_cell_length_b 4.343
_cell_length_c 4.352
_cell_angle_alpha 90.00
_cell_angle_beta 90.00
_cell_angle_gamma 90.00
_space_group_name_H-M_alt 'P 4/m m m'
_space_group_IT_number 123
_space_group_name_Hall '-P 4 2'
loop_
_atom_site_label
_atom_site_type_symbol
_atom_site_fract_x
_atom_site_fract_y
_atom_site_fract_z
Gd1 Gd 0.000 0.000 0.000
Al1 Al 0.000 0.500 0.500
Ag1 Ag 0.500 0.500 0.000
```

13.
Below is a relaxed Pr2HoHg6 crystal, with properties calculated at the GGA-PBE level.

Calculated values
* calculated density: 11.916 Mg/m³

Cell and atoms, written as CIF:
```
data_Pr2HoHg6
_cell_length_a 8.7293
_cell_length_b 8.7293
_cell_length_c 3.4849
_cell_angle_alpha 90.00
_cell_angle_beta 90.00
_cell_angle_gamma 120.00
_space_group_name_H-M_alt 'P 6/m m m'
_space_group_IT_number 191
_space_group_name_Hall '-P 6 2'
loop_
_atom_site_label
_atom_site_type_symbol
_atom_site_fract_x
_atom_site_fract_y
_atom_site_fract_z
Pr1 Pr 0.3333 0.6667 0.0000
Ho1 Ho 0.0000 0.0000 0.0000
Hg1 Hg 0.0000 0.3300 0.5000
```

14.
Below is a relaxed ZrTiPb2 crystal, with properties calculated at the GGA-PBE level.

Calculated values
* calculated density: 9.406 Mg/m³
* energy above the most stable polymorph in this dataset: 131.2 meV per atom

Cell and atoms, written as CIF:
```
data_ZrTiPb2
_cell_length_a 7.873
_cell_length_b 7.873
_cell_length_c 6.305
_cell_angle_alpha 90.00
_cell_angle_beta 90.00
_cell_angle_gamma 90.00
_space_group_name_H-M_alt 'I -4 2 d'
_space_group_IT_number 122
_space_group_name_Hall 'I -4 2bw'
loop_
_atom_site_label
_atom_site_type_symbol
_atom_site_fract_x
_atom_site_fract_y
_atom_site_fract_z
Zr1 Zr 0.000 0.000 0.000
Ti1 Ti 0.000 0.000 0.500
Pb1 Pb 0.236 0.250 0.625
```

15.
Below is a relaxed KSr2ReN4 crystal, with properties calculated at the GGA-PBE level.

Calculated values
* calculated density: 4.693 Mg/m³

Cell and atoms, written as CIF:
```
data_KSr2ReN4
_cell_length_a 8.598
_cell_length_b 6.373
_cell_length_c 5.897
_cell_angle_alpha 90.00
_cell_angle_beta 90.00
_cell_angle_gamma 90.00
_space_group_name_H-M_alt 'P m n 21'
_space_group_IT_number 31
loop_
_space_group_symop_operation_xyz
'x,y,z'
'-x+1/2,-y,z+1/2'
'-x,y,z'
'x+1/2,-y,z+1/2'
loop_
_atom_site_label
_atom_site_type_symbol
_atom_site_fract_x
_atom_site_fract_y
_atom_site_fract_z
K1 K 0.000 0.188 0.000
Sr1 Sr 0.247 0.299 0.515
Re1 Re 0.000 0.806 0.539
N1 N 0.000 0.088 0.468
N2 N 0.000 0.789 0.849
N3 N 0.180 0.679 0.437
```

16.
Below is a relaxed SrCuSN2 crystal, with properties calculated at the GGA-PBE level.

Calculated values
* calculated density: 4.425 Mg/m³
* energy above the most stable polymorph in this dataset: 0.0 meV per atom

Cell and atoms, written as CIF:
```
data_SrCuSN2
_cell_length_a 4.061
_cell_length_b 4.061
_cell_length_c 4.808
_cell_angle_alpha 90.00
_cell_angle_beta 90.00
_cell_angle_gamma 90.00
_space_group_name_H-M_alt 'P 4/m m m'
_space_group_IT_number 123
_space_group_name_Hall '-P 4 2'
loop_
_atom_site_label
_atom_site_type_symbol
_atom_site_fract_x
_atom_site_fract_y
_atom_site_fract_z
Sr1 Sr 0.000 0.000 0.000
Cu1 Cu 0.500 0.500 0.500
S1 S 0.500 0.500 0.000
N1 N 0.000 0.500 0.500
```

17.
Below is a relaxed K2TaAlP crystal, with properties calculated at the GGA-PBE level.

Calculated values
* calculated density: 2.651 Mg/m³

Cell and atoms, written as CIF:
```
data_K2TaAlP
_cell_length_a 6.670
_cell_length_b 6.670
_cell_length_c 4.464
_cell_angle_alpha 90.00
_cell_angle_beta 90.00
_cell_angle_gamma 90.00
_space_group_name_H-M_alt 'P 4/m m m'
_space_group_IT_number 123
_space_group_name_Hall '-P 4 2'
loop_
_atom_site_label
_atom_site_type_symbol
_atom_site_fract_x
_atom_site_fract_y
_atom_site_fract_z
K1 K 0.000 0.500 0.000
Ta1 Ta 0.000 0.000 0.500
Al1 Al 0.500 0.500 0.000
P1 P 0.500 0.500 0.500
```

18.
Below is a relaxed TaHSeBr2 crystal, with properties calculated at the GGA-PBE level.

Calculated values
* calculated density: 5.193 Mg/m³
* energy above the most stable polymorph in this dataset: 0.0 meV per atom

Cell and atoms, written as CIF:
```
data_TaHSeBr2
_cell_length_a 5.212
_cell_length_b 5.212
_cell_length_c 4.953
_cell_angle_alpha 90.00
_cell_angle_beta 90.00
_cell_angle_gamma 90.00
_space_group_name_H-M_alt 'P 4/m m m'
_space_group_IT_number 123
_space_group_name_Hall '-P 4 2'
loop_
_atom_site_label
_atom_site_type_symbol
_atom_site_fract_x
_atom_site_fract_y
_atom_site_fract_z
Ta1 Ta 0.000 0.000 0.000
H1 H 0.500 0.500 0.500
Se1 Se 0.000 0.000 0.500
Br1 Br 0.000 0.500 0.000
```

19.
Below is a relaxed Ag2PbAuF8 crystal, with properties calculated at the GGA-PBE level.

Calculated values
* calculated density: 7.247 Mg/m³

Cell and atoms, written as CIF:
```
data_Ag2PbAuF8
_cell_length_a 5.637
_cell_length_b 5.637
_cell_length_c 11.133
_cell_angle_alpha 90.00
_cell_angle_beta 90.00
_cell_angle_gamma 90.00
_space_group_name_H-M_alt 'I -4'
_space_group_IT_number 82
loop_
_space_group_symop_operation_xyz
'x,y,z'
'y,-x,-z'
'-x,-y,z'
'-y,x,-z'
'x+1/2,y+1/2,z+1/2'
'y+1/2,-x+1/2,-z+1/2'
'-x+1/2,-y+1/2,z+1/2'
'-y+1/2,x+1/2,-z+1/2'
loop_
_atom_site_label
_atom_site_type_symbol
_atom_site_fract_x
_atom_site_fract_y
_atom_site_fract_z
Ag1 Ag 0.000 0.000 0.000
Ag2 Ag 0.000 0.500 0.250
Pb1 Pb 0.000 0.000 0.500
Au1 Au 0.000 0.500 0.750
F1 F 0.231 0.236 0.619
F2 F 0.232 0.763 0.618
```

20.
Below is a relaxed Be2Cu8Si crystal, with properties calculated at the GGA-PBE level.

Calculated values
* calculated density: 7.290 Mg/m³

Cell and atoms, written as CIF:
```
data_Be2Cu8Si
_cell_length_a 3.712
_cell_length_b 6.161
_cell_length_c 11.046
_cell_angle_alpha 90.00
_cell_angle_beta 90.00
_cell_angle_gamma 90.00
_space_group_name_H-M_alt 'I m m m'
_space_group_IT_number 71
_space_group_name_Hall '-I 2 2'
loop_
_atom_site_label
_atom_site_type_symbol
_atom_site_fract_x
_atom_site_fract_y
_atom_site_fract_z
Be1 Be 0.000 0.000 0.192
Cu1 Cu 0.000 0.197 0.000
Cu2 Cu 0.000 0.285 0.342
Cu3 Cu 0.000 0.500 0.153
Si1 Si 0.000 0.000 0.500
```

| no. | VASP energy (eV/atom) | V (Å³ per atom) |
| --- | --- | --- |
| 1 | -2.56 | 33.02 |
| 2 | -3.53 | 20.37 |
| 3 | -3.32 | 31.85 |
| 4 | -4.29 | 21.97 |
| 5 | -5.02 | 19.08 |
| 6 | -3.92 | 25.17 |
| 7 | -4.16 | 22.47 |
| 8 | -9.01 | 23.71 |
| 9 | -4.32 | 21.22 |
| 10 | -4.98 | 34.58 |
| 11 | -7.39 | 18.79 |
| 12 | -6.37 | 20.52 |
| 13 | -2.18 | 25.55 |
| 14 | -5.80 | 24.43 |
| 15 | -6.96 | 20.19 |
| 16 | -4.77 | 15.86 |
| 17 | -3.29 | 39.72 |
| 18 | -4.31 | 26.91 |
| 19 | -3.58 | 14.74 |
| 20 | -4.17 | 11.48 |